## Cu3IBr (PBE-GGA)

Data for a geometry-optimized Cu3IBr structure.

```
data_Cu3IBr
_chemical_formula_sum 'Cu3 I1 Br1'
_cell_length_a 5.040
_cell_length_b 5.040
_cell_length_c 5.040
_cell_angle_alpha 90.00
_cell_angle_beta 90.00
_cell_angle_gamma 90.00
_symmetry_space_group_name_H-M 'P m -3 m'
_symmetry_Int_Tables_number 221
_symmetry_space_group_name_Hall '-P 4 2 3'
loop_
_atom_site_label
_atom_site_type_symbol
_atom_site_fract_x
_atom_site_fract_y
_atom_site_fract_z
_atom_site_occupancy
Cu1 Cu 0.000 0.000 0.500 1
I1 I 0.000 0.000 0.000 1
Br1 Br 0.500 0.500 0.500 1
```

Its total moment is 0.00 μB/cell. The value obtained for the energy is -2.412 eV/atom. For the raw formation energy, the calculation gives 3.45 eV/f.u. The density of states at the Fermi level is 0.571 states/eV/atom. The relative energy among the computed polymorphs comes out at 0.35 eV/f.u.